The following is a DFT calculation (PBE) of crystalline Re2Ag at its relaxed geometry.

Polymorph energy (0 for the lowest one) (meV per atom): 243
Calculated formation energy (eV per atom): 0.552

a b c (Å): 10.567 2.773 6.711
angles (deg): 90.00 107.08 90.00
Space group Cm (No. 8)
Unique sites:
Re 0.000 0.000 0.000 [2 per cell]
Re 0.042 0.000 0.616 [2 per cell]
Re 0.206 0.500 0.949 [2 per cell]
Re 0.394 0.000 0.260 [2 per cell]
Ag 0.168 0.500 0.341 [2 per cell]
Ag 0.323 0.000 0.677 [2 per cell]

=====

The following is a DFT calculation (PBE) of crystalline ScSi2I at its relaxed geometry.

Raw formation energy (eV/atom): 0.6124
Polymorph energy (0 for the lowest one) (meV per atom): 420

a b c (Å): 7.038 7.038 7.038
angles (deg): 90.00 90.00 90.00
Space group Fm-3m (No. 225)
Unique sites:
Sc 0.000 0.000 0.000 [4 per cell]
Si 0.250 0.250 0.250 [8 per cell]
I 0.000 0.000 0.500 [4 per cell]

=====

The following is a DFT calculation (PBE) of crystalline TiPN3 at its relaxed geometry.

Raw formation energy (eV/atom): -0.2181

a b c (Å): 5.6722 5.6722 8.5780
angles (deg): 90.00 90.00 120.00
Space group R3m (No. 160, hexagonal axes)
Unique sites:
Ti 0.0000 0.0000 0.0000 [3 per cell]
P 0.0000 0.0000 0.7093 [3 per cell]
N 0.0208 0.5104 0.4194 [9 per cell]

=====

The following is a DFT calculation (PBE) of crystalline Ga2AgF at its relaxed geometry.

Raw formation energy (eV/atom): -0.5239
Polymorph energy (0 for the lowest one) (meV per atom): 0

a b c (Å): 6.497 6.497 6.497
angles (deg): 90.00 90.00 90.00
Space group Fm-3m (No. 225)
Unique sites:
Ga 0.250 0.250 0.250 [8 per cell]
Ag 0.000 0.000 0.000 [4 per cell]
F 0.000 0.000 0.500 [4 per cell]

=====

The following is a DFT calculation (PBE) of crystalline GaFe2MoC at its relaxed geometry.

Calculated formation energy (eV per atom): -0.019

a b c (Å): 3.834 3.834 4.167
angles (deg): 90.00 90.00 90.00
Space group P4/mmm (No. 123)
Unique sites:
Ga 0.000 0.000 0.000 [1 per cell]
Fe 0.000 0.500 0.500 [2 per cell]
Mo 0.500 0.500 0.000 [1 per cell]
C 0.500 0.500 0.500 [1 per cell]

=====

The following is a DFT calculation (PBE) of crystalline Mg6NbCO8 at its relaxed geometry.

Raw formation energy (eV/atom): -1.8674
Polymorph energy (0 for the lowest one) (meV per atom): 5

a b c (Å): 4.203 4.203 9.388
angles (deg): 90.00 90.00 90.00
Space group P4/mmm (No. 123)
Unique sites:
Mg 0.000 0.000 0.000 [1 per cell]
Mg 0.000 0.000 0.500 [1 per cell]
Mg 0.000 0.500 0.224 [4 per cell]
Nb 0.500 0.500 0.500 [1 per cell]
C 0.500 0.500 0.000 [1 per cell]
O 0.000 0.000 0.241 [2 per cell]
O 0.000 0.500 0.000 [2 per cell]
O 0.000 0.500 0.500 [2 per cell]
O 0.500 0.500 0.275 [2 per cell]

=====

The following is a DFT calculation (PBE) of crystalline AlPI2O at its relaxed geometry.

Raw formation energy (eV/atom): -0.1082
Polymorph energy (0 for the lowest one) (meV per atom): 199

a b c (Å): 5.802 5.802 3.596
angles (deg): 90.00 90.00 90.00
Space group P4/mmm (No. 123)
Unique sites:
Al 0.000 0.000 0.000 [1 per cell]
P 0.500 0.500 0.500 [1 per cell]
I 0.000 0.500 0.500 [2 per cell]
O 0.500 0.500 0.000 [1 per cell]

=====

The following is a DFT calculation (PBE) of crystalline LaSmCdRu at its relaxed geometry.

Polymorph energy (0 for the lowest one) (meV per atom): 91
Calculated formation energy (eV per atom): -0.180

a b c (Å): 7.371 7.371 7.371
angles (deg): 90.00 90.00 90.00
Space group F-43m (No. 216)
Unique sites:
La 0.000 0.000 0.000 [4 per cell]
Sm 0.000 0.000 0.500 [4 per cell]
Cd 0.250 0.250 0.250 [4 per cell]
Ru 0.250 0.250 0.750 [4 per cell]

=====

The following is a DFT calculation (PBE) of crystalline Y2ReC at its relaxed geometry.

Calculated formation energy (eV per atom): 0.006

a b c (Å): 9.517 9.517 3.969
angles (deg): 90.00 90.00 90.00
Space group I-42d (No. 122)
Unique sites:
Y 0.079 0.250 0.125 [8 per cell]
Re 0.000 0.000 0.500 [4 per cell]
C 0.000 0.000 0.000 [4 per cell]

=====

The following is a DFT calculation (PBE) of crystalline Ce2SmYN4 at its relaxed geometry.

Raw formation energy (eV/atom): -1.5467

a b c (Å): 6.143 3.551 6.152
angles (deg): 90.00 109.48 90.00
Space group P2/m (No. 10)
Unique sites:
Ce 0.000 0.000 0.000 [1 per cell]
Ce 0.000 0.500 0.500 [1 per cell]
Sm 0.500 0.000 0.500 [1 per cell]
Y 0.500 0.500 0.000 [1 per cell]
N 0.244 0.500 0.244 [2 per cell]
N 0.247 0.000 0.753 [2 per cell]

=====

The following is a DFT calculation (PBE) of crystalline UTaCr at its relaxed geometry.

Calculated formation energy (eV per atom): 0.633

a b c (Å): 4.5322 4.5322 19.1436
angles (deg): 90.00 90.00 120.00
Space group R-3m (No. 166, hexagonal axes)
Unique sites:
U 0.0000 0.0000 0.2145 [6 per cell]
Ta 0.0000 0.0000 0.0664 [6 per cell]
Cr 0.0000 0.0000 0.3365 [6 per cell]

=====

The following is a DFT calculation (PBE) of crystalline ScNb2VPb at its relaxed geometry.

Calculated formation energy (eV per atom): 0.731

a b c (Å): 4.653 4.653 5.212
angles (deg): 90.00 90.00 90.00
Space group P4/mmm (No. 123)
Unique sites:
Sc 0.000 0.000 0.000 [1 per cell]
Nb 0.000 0.500 0.500 [2 per cell]
V 0.500 0.500 0.500 [1 per cell]
Pb 0.500 0.500 0.000 [1 per cell]

=====

We obtain uncorrected energy values of -8.70; -4.07; -7.87; -3.22; -8.02; -6.15; -3.55; -5.14; -8.64; -8.59; -10.29; -7.13 eV/atom for the records listed above, in that order.
We obtain magnetization values of 0.0; 0.0; 0.0; 0.0; 4.3; 2.2; 0.0; 0.0; 0.0; 0.4; 0.0; 0.0 μB per formula unit for the records listed above, in that order.